w) This record from OQMD via LeMat-Bulk describes NiHgTe3Pb after structural relaxation. The functional is PBE-GGA.

a = 6.9250 Å, b = 6.9250 Å, c = 12.5497 Å
α = 90.00°, β = 90.00°, γ = 145.19°
Fractional coordinates of all 12 atoms:
1 Ni 0.4099 0.5901 0.7500
2 Te 0.0213 0.9787 0.7500
3 Hg 0.0000 0.0000 0.0000
4 Ni 0.5901 0.4099 0.2500
5 Te 0.6580 0.3420 0.0612
6 Te 0.9787 0.0213 0.2500
7 Hg 0.0000 0.0000 0.5000
8 Pb 0.7584 0.2416 0.7500
9 Te 0.3420 0.6580 0.5612
10 Te 0.6580 0.3420 0.4388
11 Te 0.3420 0.6580 0.9388
12 Pb 0.2416 0.7584 0.2500

---

x) This record from OQMD via LeMat-Bulk describes NiHgTe3Pb after structural relaxation. The functional is PBE-GGA.

a = 3.9473 Å, b = 8.1818 Å, c = 11.4665 Å
α = 90.00°, β = 90.00°, γ = 76.04°
Fractional coordinates of all 12 atoms:
1 Te 0.6024 0.7952 0.4865
2 Te 0.3976 0.2048 0.5135
3 Pb 0.3340 0.3320 0.2500
4 Te 0.3976 0.2048 0.9865
5 Te 0.6024 0.7952 0.0135
6 Te 0.0185 0.9631 0.7500
7 Ni 0.0000 0.0000 0.5000
8 Hg 0.6745 0.6511 0.2500
9 Pb 0.6660 0.6680 0.7500
10 Hg 0.3255 0.3489 0.7500
11 Te 0.9815 0.0369 0.2500
12 Ni 0.0000 0.0000 0.0000

---

The least stable of them is w).

---

w) This record from OQMD via LeMat-Bulk describes ScSiNiHg after structural relaxation. The functional is PBE-GGA.

a = 4.5551 Å, b = 4.5551 Å, c = 4.5551 Å
α = 60.00°, β = 60.00°, γ = 60.00°
Fractional coordinates of all 4 atoms:
1 Si 0.0000 0.0000 0.0000
2 Sc 0.5000 0.5000 0.5000
3 Hg 0.2500 0.2500 0.2500
4 Ni 0.7500 0.7500 0.7500

---

x) This record from OQMD via LeMat-Bulk describes ScSiNiHg after structural relaxation. The functional is PBE-GGA.

a = 4.5339 Å, b = 4.5339 Å, c = 4.5339 Å
α = 60.00°, β = 60.00°, γ = 60.00°
Fractional coordinates of all 4 atoms:
1 Si 0.0000 0.0000 0.0000
2 Ni 0.7500 0.7500 0.7500
3 Hg 0.5000 0.5000 0.5000
4 Sc 0.2500 0.2500 0.2500

---

The least stable of them is w).

---

w) This record from OQMD via LeMat-Bulk describes ScNiSnHg after structural relaxation. The functional is PBE-GGA.

a = 4.7696 Å, b = 4.7696 Å, c = 4.7696 Å
α = 60.00°, β = 60.00°, γ = 60.00°
Fractional coordinates of all 4 atoms:
1 Ni 0.7500 0.7500 0.7500
2 Sc 0.5000 0.5000 0.5000
3 Sn 0.0000 0.0000 0.0000
4 Hg 0.2500 0.2500 0.2500

---

x) This record from OQMD via LeMat-Bulk describes ScNiSnHg after structural relaxation. The functional is PBE-GGA.

a = 4.7400 Å, b = 4.7400 Å, c = 4.7400 Å
α = 60.00°, β = 60.00°, γ = 60.00°
Fractional coordinates of all 4 atoms:
1 Sc 0.2500 0.2500 0.2500
2 Hg 0.5000 0.5000 0.5000
3 Sn 0.0000 0.0000 0.0000
4 Ni 0.7500 0.7500 0.7500

---

The least stable of them is w).

---

w) This record from OQMD via LeMat-Bulk describes ScZnNiHg after structural relaxation. The functional is PBE-GGA.

a = 4.5605 Å, b = 4.5605 Å, c = 4.5605 Å
α = 60.00°, β = 60.00°, γ = 60.00°
Fractional coordinates of all 4 atoms:
1 Sc 0.2500 0.2500 0.2500
2 Zn 0.0000 0.0000 0.0000
3 Hg 0.5000 0.5000 0.5000
4 Ni 0.7500 0.7500 0.7500

---

x) This record from OQMD via LeMat-Bulk describes ScZnNiHg after structural relaxation. The functional is PBE-GGA.

a = 4.5547 Å, b = 4.5547 Å, c = 4.5547 Å
α = 60.00°, β = 60.00°, γ = 60.00°
Fractional coordinates of all 4 atoms:
1 Sc 0.5000 0.5000 0.5000
2 Ni 0.7500 0.7500 0.7500
3 Zn 0.0000 0.0000 0.0000
4 Hg 0.2500 0.2500 0.2500

---

The least stable of them is w).

---

w) This record from OQMD via LeMat-Bulk describes SrNiHgSe3 after structural relaxation. The functional is PBE-GGA.

a = 7.4810 Å, b = 7.4810 Å, c = 11.8560 Å
α = 90.00°, β = 90.00°, γ = 29.44°
Fractional coordinates of all 12 atoms:
1 Hg 0.5379 0.5379 0.2500
2 Se 0.4135 0.4135 0.4333
3 Sr 0.8245 0.8245 0.2500
4 Se 0.1666 0.1666 0.2500
5 Hg 0.4621 0.4621 0.7500
6 Se 0.4135 0.4135 0.0667
7 Se 0.5865 0.5865 0.5667
8 Ni 0.0000 0.0000 0.5000
9 Ni 0.0000 0.0000 0.0000
10 Sr 0.1755 0.1755 0.7500
11 Se 0.8334 0.8334 0.7500
12 Se 0.5865 0.5865 0.9333

---

x) This record from OQMD via LeMat-Bulk describes SrNiHgSe3 after structural relaxation. The functional is PBE-GGA.

a = 6.4106 Å, b = 6.4106 Å, c = 11.5508 Å
α = 90.00°, β = 90.00°, γ = 37.85°
Fractional coordinates of all 12 atoms:
1 Hg 0.0000 0.0000 0.5000
2 Se 0.6491 0.6491 0.5721
3 Ni 0.4525 0.4525 0.2500
4 Se 0.3509 0.3509 0.4279
5 Se 0.0428 0.0428 0.2500
6 Se 0.9572 0.9572 0.7500
7 Sr 0.7448 0.7448 0.2500
8 Se 0.3509 0.3509 0.0721
9 Sr 0.2552 0.2552 0.7500
10 Se 0.6491 0.6491 0.9279
11 Hg 0.0000 0.0000 0.0000
12 Ni 0.5475 0.5475 0.7500

---

The least stable of them is w).

---

w) This record from OQMD via LeMat-Bulk describes TaSiNiHg after structural relaxation. The functional is PBE-GGA.

a = 4.4745 Å, b = 4.4745 Å, c = 4.4745 Å
α = 60.00°, β = 60.00°, γ = 60.00°
Fractional coordinates of all 4 atoms:
1 Si 0.0000 0.0000 0.0000
2 Ta 0.2500 0.2500 0.2500
3 Ni 0.7500 0.7500 0.7500
4 Hg 0.5000 0.5000 0.5000

---

x) This record from OQMD via LeMat-Bulk describes TaSiNiHg after structural relaxation. The functional is PBE-GGA.

a = 4.5196 Å, b = 4.5196 Å, c = 4.5196 Å
α = 60.00°, β = 60.00°, γ = 60.00°
Fractional coordinates of all 4 atoms:
1 Si 0.0000 0.0000 0.0000
2 Hg 0.2500 0.2500 0.2500
3 Ni 0.7500 0.7500 0.7500
4 Ta 0.5000 0.5000 0.5000

---

The least stable of them is x).

---

w) This record from OQMD via LeMat-Bulk describes TlTcNiHg after structural relaxation. The functional is PBE-GGA.

a = 4.6787 Å, b = 4.6787 Å, c = 4.6787 Å
α = 60.00°, β = 60.00°, γ = 60.00°
Fractional coordinates of all 4 atoms:
1 Tc 0.5000 0.5000 0.5000
2 Hg 0.2500 0.2500 0.2500
3 Ni 0.7500 0.7500 0.7500
4 Tl 0.0000 0.0000 0.0000

---

x) This record from OQMD via LeMat-Bulk describes TlTcNiHg after structural relaxation. The functional is PBE-GGA.

a = 4.6133 Å, b = 4.6133 Å, c = 4.6133 Å
α = 60.00°, β = 60.00°, γ = 60.00°
Fractional coordinates of all 4 atoms:
1 Ni 0.7500 0.7500 0.7500
2 Hg 0.5000 0.5000 0.5000
3 Tc 0.2500 0.2500 0.2500
4 Tl 0.0000 0.0000 0.0000

---

The least stable of them is w).

---

w) This record from OQMD via LeMat-Bulk describes NpSnHg after structural relaxation. The functional is PBE-GGA.

a = 4.9777 Å, b = 4.9777 Å, c = 4.9777 Å
α = 60.00°, β = 60.00°, γ = 60.00°
Fractional coordinates of all 3 atoms:
1 Sn 0.7500 0.7500 0.7500
2 Np 0.2500 0.2500 0.2500
3 Hg 0.0000 0.0000 0.0000

---

x) This record from OQMD via LeMat-Bulk describes NpSnHg after structural relaxation. The functional is PBE-GGA.

a = 5.0890 Å, b = 5.0890 Å, c = 5.0890 Å
α = 60.00°, β = 60.00°, γ = 60.00°
Fractional coordinates of all 3 atoms:
1 Sn 0.5000 0.5000 0.5000
2 Np 0.7500 0.7500 0.7500
3 Hg 0.0000 0.0000 0.0000

---

The least stable of them is x).

---

w) This record from OQMD via LeMat-Bulk describes NpTcHg after structural relaxation. The functional is PBE-GGA.

a = 4.6457 Å, b = 4.6457 Å, c = 4.6457 Å
α = 60.00°, β = 60.00°, γ = 60.00°
Fractional coordinates of all 3 atoms:
1 Hg 0.0000 0.0000 0.0000
2 Tc 0.7500 0.7500 0.7500
3 Np 0.2500 0.2500 0.2500

---

x) This record from OQMD via LeMat-Bulk describes NpTcHg after structural relaxation. The functional is PBE-GGA.

a = 4.6148 Å, b = 4.6148 Å, c = 4.6148 Å
α = 60.00°, β = 60.00°, γ = 60.00°
Fractional coordinates of all 3 atoms:
1 Tc 0.5000 0.5000 0.5000
2 Hg 0.0000 0.0000 0.0000
3 Np 0.7500 0.7500 0.7500

---

The least stable of them is w).

---

w) This record from OQMD via LeMat-Bulk describes HgPOsO after structural relaxation. The functional is PBE-GGA.

a = 3.7728 Å, b = 8.1261 Å, c = 4.7429 Å
α = 90.00°, β = 90.00°, γ = 90.00°
Fractional coordinates of all 8 atoms:
1 P 0.5000 0.1784 0.9211
2 Os 0.5000 0.1044 0.4248
3 O 0.0000 0.8806 0.9241
4 Os 0.5000 0.8956 0.9248
5 P 0.5000 0.8216 0.4211
6 Hg 0.0000 0.5908 0.4840
7 O 0.0000 0.1194 0.4241
8 Hg 0.0000 0.4092 0.9840

---

x) This record from OQMD via LeMat-Bulk describes HgPOsO after structural relaxation. The functional is PBE-GGA.

a = 4.1236 Å, b = 4.1236 Å, c = 7.7578 Å
α = 90.00°, β = 90.00°, γ = 90.00°
Fractional coordinates of all 8 atoms:
1 Os 0.5000 0.0000 0.5000
2 Hg 0.5000 0.5000 0.8763
3 O 0.5000 0.0000 0.0000
4 Os 0.0000 0.5000 0.5000
5 P 0.5000 0.5000 0.3575
6 P 0.0000 0.0000 0.6425
7 O 0.0000 0.5000 0.0000
8 Hg 0.0000 0.0000 0.1237

---

y) This record from OQMD via LeMat-Bulk describes HgPOsO after structural relaxation. The functional is PBE-GGA.

a = 3.3130 Å, b = 6.2975 Å, c = 7.3489 Å
α = 90.00°, β = 90.00°, γ = 90.00°
Fractional coordinates of all 8 atoms:
1 Os 0.5000 0.5357 0.4926
2 P 0.0000 0.7765 0.4346
3 Hg 0.0000 0.8501 0.0780
4 O 0.5000 0.5506 0.7488
5 P 0.0000 0.2235 0.9346
6 Hg 0.0000 0.1499 0.5780
7 O 0.5000 0.4494 0.2488
8 Os 0.5000 0.4643 0.9926

---

z) This record from OQMD via LeMat-Bulk describes HgPOsO after structural relaxation. The functional is PBE-GGA.

a = 4.0646 Å, b = 4.0646 Å, c = 8.2485 Å
α = 90.00°, β = 90.00°, γ = 90.00°
Fractional coordinates of all 8 atoms:
1 Hg 0.0000 0.5000 0.5000
2 Hg 0.5000 0.0000 0.5000
3 P 0.0000 0.0000 0.8025
4 O 0.0000 0.5000 0.0000
5 P 0.5000 0.5000 0.1975
6 O 0.5000 0.0000 0.0000
7 Os 0.5000 0.5000 0.9178
8 Os 0.0000 0.0000 0.0822

---

The least stable of them is z).

---

w) This record from OQMD via LeMat-Bulk describes HgOsSO after structural relaxation. The functional is PBE-GGA.

a = 7.2257 Å, b = 6.6747 Å, c = 5.5464 Å
α = 90.00°, β = 92.43°, γ = 90.00°
Fractional coordinates of all 16 atoms:
1 S 0.7061 0.8721 0.1181
2 S 0.2939 0.1279 0.8819
3 Os 0.4829 0.3984 0.7211
4 Hg 0.9344 0.2963 0.9770
5 Hg 0.9344 0.2037 0.4770
6 O 0.5967 0.3546 0.0710
7 Hg 0.0656 0.7963 0.5230
8 O 0.4033 0.6454 0.9290
9 Os 0.5171 0.6016 0.2789
10 Hg 0.0656 0.7037 0.0230
11 Os 0.4829 0.1016 0.2211
12 Os 0.5171 0.8984 0.7789
13 O 0.5967 0.1454 0.5710
14 S 0.2939 0.3721 0.3819
15 S 0.7061 0.6279 0.6181
16 O 0.4033 0.8546 0.4290

---

x) This record from OQMD via LeMat-Bulk describes HgOsSO after structural relaxation. The functional is PBE-GGA.

a = 6.8004 Å, b = 8.9374 Å, c = 5.7418 Å
α = 90.00°, β = 90.00°, γ = 90.00°
Fractional coordinates of all 16 atoms:
1 O 0.6453 0.1818 0.4524
2 Hg 0.2542 0.0955 0.2057
3 S 0.1214 0.4833 0.1311
4 S 0.6214 0.5167 0.1311
5 Os 0.3603 0.6218 0.9607
6 O 0.1453 0.8182 0.4524
7 Os 0.1397 0.6218 0.4607
8 Os 0.8603 0.3782 0.9607
9 Hg 0.7458 0.9045 0.7057
10 S 0.3786 0.4833 0.6311
11 Hg 0.2458 0.0955 0.7057
12 O 0.8547 0.1818 0.9524
13 Hg 0.7542 0.9045 0.2057
14 O 0.3547 0.8182 0.9524
15 Os 0.6397 0.3782 0.4607
16 S 0.8786 0.5167 0.6311

---

The least stable of them is x).

---

w) This record from OQMD via LeMat-Bulk describes HgOsSO after structural relaxation. The functional is PBE-GGA.

a = 4.8278 Å, b = 4.8495 Å, c = 13.3469 Å
α = 90.00°, β = 93.31°, γ = 90.00°
Fractional coordinates of all 16 atoms:
1 O 0.7976 0.0881 0.0338
2 Os 0.0371 0.7741 0.0953
3 S 0.2685 0.1240 0.7951
4 Os 0.9629 0.2741 0.9047
5 Hg 0.9455 0.2334 0.3492
6 Os 0.4154 0.4228 0.0949
7 Hg 0.3397 0.0747 0.5123
8 S 0.2727 0.0890 0.1985
9 O 0.2899 0.0939 0.9947
10 S 0.7273 0.5890 0.8015
11 S 0.7315 0.6240 0.2049
12 O 0.2024 0.5881 0.9662
13 O 0.7101 0.5939 0.0053
14 Os 0.5846 0.9228 0.9051
15 Hg 0.0545 0.7334 0.6508
16 Hg 0.6603 0.5747 0.4877

---

x) This record from OQMD via LeMat-Bulk describes HgOsSO after structural relaxation. The functional is PBE-GGA.

a = 3.3545 Å, b = 8.1261 Å, c = 5.4799 Å
α = 90.00°, β = 90.00°, γ = 90.00°
Fractional coordinates of all 8 atoms:
1 Hg 0.0000 0.5543 0.6264
2 O 0.5000 0.1733 0.2006
3 Hg 0.0000 0.4457 0.1264
4 Os 0.5000 0.9777 0.9782
5 O 0.5000 0.8267 0.7006
6 S 0.0000 0.1486 0.6858
7 Os 0.5000 0.0223 0.4782
8 S 0.0000 0.8514 0.1858

---

The least stable of them is w).